{"formula": "TbHo4Hg4", "functional": "GGA-PBE", "state": "optimized geometry", "sg": "P4_2/n, No. 86", "magnetic_moment_mub_per_fu": 0.000, "formation_energy_ev_per_atom": -0.250, "lattice": [[5.496, 0.000, 0.000], [0.000, 9.498, 0.000], [0.000, 0.000, 9.498]], "species": ["Hg", "Hg", "Ho", "Tb", "Hg", "Ho", "Ho", "Hg", "Tb", "Ho", "Ho", "Hg", "Hg", "Ho", "Hg", "Hg", "Ho", "Ho"], "fractional_positions": [[0.602, 0.104, 0.795], [0.398, 0.795, 0.896], [0.100, 0.089, 0.651], [0.500, 0.500, 0.500], [0.102, 0.705, 0.604], [0.400, 0.589, 0.151], [0.900, 0.651, 0.911], [0.102, 0.295, 0.396], [0.000, 0.000, 0.000], [0.400, 0.411, 0.849], [0.600, 0.849, 0.589], [0.398, 0.205, 0.104], [0.602, 0.896, 0.205], [0.600, 0.151, 0.411], [0.898, 0.396, 0.705], [0.898, 0.604, 0.295], [0.900, 0.349, 0.089], [0.100, 0.911, 0.349]]}